Run a
First-principles (PBE) data for a geometry-optimized TaTe2IO structure, as listed in Alexandria.

abc: 5.3415 5.3415 5.4863
angles: 90.00 90.00 90.00
With the nearest neighbours (Å) after each atom.
Space group P4/mmm (No. 123)
Inequivalent atoms, fractional coordinates:
Ta 0.0000 0.0000 0.0000 (multiplicity 1)  4 Te 2.67, 2 I 2.74
Te 0.0000 0.5000 0.0000 (multiplicity 2)  2 Ta 2.67
I 0.0000 0.0000 0.5000 (multiplicity 1)  2 Ta 2.74
O 0.5000 0.5000 0.5000 (multiplicity 1)  4 I 3.78, 8 Te 3.83

Properties
The value obtained for the density of states at the Fermi level is 2.9773 states/eV per atom.

Run b
First-principles (PBE) data for a geometry-optimized TaTe2IO structure, as listed in Alexandria.

abc: 4.4866 4.4866 5.8113
angles: 90.00 90.00 90.00
With the nearest neighbours (Å) after each atom.
Space group P4/mmm (No. 123)
Inequivalent atoms, fractional coordinates:
Ta 0.0000 0.0000 0.0000 (multiplicity 1)  4 I 3.17
Te 0.0000 0.5000 0.5000 (multiplicity 2)  2 O 2.24
I 0.5000 0.5000 0.0000 (multiplicity 1)  2 O 2.91, 4 Ta 3.17
O 0.5000 0.5000 0.5000 (multiplicity 1)  4 Te 2.24

Properties
The value obtained for the density of states at the Fermi level is 0.6372 states/eV per atom.

Pick the most stable structure from those above. Pick: run b